(1)
Entry from the Alexandria database: a relaxed structure of KTaSi2 (PBE-GGA).

Calculated values
Uncorrected formation energy ... 23.4 kJ/mol of atoms
DFT total energy ... -5.71 eV per atom
Polymorph energy (0 for the lowest one) ... 0.170 eV/atom
Magnetic moment ... 0.00 μB/f.u.
Space-group type ... R-3m

a b c (Å): 9.9388 9.9388 9.9388
angles (deg): 17.72 17.72 17.72
Last column: nearest neighbours and their distance in Å.
Element x y z (fractional)
K (0.7500, 0.7500, 0.7500)  6 K 3.06, 6 Si 3.32
Si (0.9877, 0.9877, 0.9877)  3 Ta 2.73
Si (0.5123, 0.5123, 0.5123)  3 Ta 2.73
Ta (0.2500, 0.2500, 0.2500)  6 Si 2.73


(2)
Entry from the Alexandria database: a relaxed structure of KTaSi2 (PBE-GGA).

Calculated values
Uncorrected formation energy ... 59.6 kJ/mol of atoms
DFT total energy ... -5.33 eV per atom
Polymorph energy (0 for the lowest one) ... 0.546 eV/atom
Magnetic moment ... 0.00 μB/f.u.
Space-group type ... Cmmm

a b c (Å): 5.2311 5.2311 2.7499
angles (deg): 90.00 90.00 97.55
Last column: nearest neighbours and their distance in Å.
Element x y z (fractional)
K (0.0000, 0.5000, 0.5000)  2 K 2.75, 8 Si 2.95
Si (0.0000, 0.0000, 0.0000)  2 Si 2.75, 4 K 2.95, 4 Ta 2.95
Si (0.5000, 0.5000, 0.0000)  2 Si 2.75, 4 Ta 2.95, 4 K 2.95
Ta (0.5000, 0.0000, 0.5000)  2 Ta 2.75, 8 Si 2.95


Q: Among the records above, which one has the lowest uncorrected formation energy?
A: number 1


Repeat the first record exactly.
Entry from the Alexandria database: a relaxed structure of KTaSi2 (PBE-GGA).

Calculated values
Uncorrected formation energy ... 23.4 kJ/mol of atoms
DFT total energy ... -5.71 eV per atom
Polymorph energy (0 for the lowest one) ... 0.170 eV/atom
Magnetic moment ... 0.00 μB/f.u.
Space-group type ... R-3m

a b c (Å): 9.9388 9.9388 9.9388
angles (deg): 17.72 17.72 17.72
Last column: nearest neighbours and their distance in Å.
Element x y z (fractional)
K (0.7500, 0.7500, 0.7500)  6 K 3.06, 6 Si 3.32
Si (0.9877, 0.9877, 0.9877)  3 Ta 2.73
Si (0.5123, 0.5123, 0.5123)  3 Ta 2.73
Ta (0.2500, 0.2500, 0.2500)  6 Si 2.73


Q: The highest uncorrected formation energy belongs to which entry?
A: number 2